# 1
An optimized crystal structure of IrICl2, computed with PBE-GGA.

Lattice parameters (Å, degrees): 7.0557 7.0557 7.0557 90.00 90.00 90.00
Positions (direct):
Ir1 0.0000 0.0000 0.0000
Ir2 0.0000 0.5000 0.5000
Ir3 0.5000 0.0000 0.5000
Ir4 0.5000 0.5000 0.0000
I1 0.0000 0.0000 0.5000
I2 0.0000 0.5000 0.0000
I3 0.5000 0.0000 0.0000
I4 0.5000 0.5000 0.5000
Cl1 0.2500 0.2500 0.2500
Cl2 0.2500 0.2500 0.7500
Cl3 0.2500 0.7500 0.2500
Cl4 0.2500 0.7500 0.7500
Cl5 0.7500 0.2500 0.2500
Cl6 0.7500 0.2500 0.7500
Cl7 0.7500 0.7500 0.2500
Cl8 0.7500 0.7500 0.7500

Computed properties:
calculated density	7.4	Mg/m³
magnetization	7.71	μB/cell
E above lowest polymorph	4.40	eV per formula unit
formation energy without anion corrections	1.29	eV/atom
space-group type	No. 225

# 2
An optimized crystal structure of IrI3Cl, computed with PBE-GGA.

Lattice parameters (Å, degrees): 8.7072 8.7072 6.7205 105.84 105.84 123.39
Positions (direct):
Ir1 0.0674 0.9326 0.5000
Ir2 0.9326 0.0674 0.0000
I1 0.0574 0.4201 0.9995
I2 0.1499 0.2763 0.4879
I3 0.2763 0.1499 0.9879
I4 0.4201 0.0574 0.4995
I5 0.7168 0.8267 0.5142
I6 0.8267 0.7168 0.0142
Cl1 0.6135 0.9675 0.9717
Cl2 0.9675 0.6135 0.4717

Computed properties:
calculated density	5.8	Mg/m³
magnetization	0.00	μB/cell
E above lowest polymorph	0.00	eV per formula unit
formation energy without anion corrections	-0.12	eV/atom
space-group type	No. 9

# 3
An optimized crystal structure of Ir2ICl, computed with PBE-GGA.

Lattice parameters (Å, degrees): 6.8927 6.8927 6.4347 90.00 90.00 90.00
Positions (direct):
Ir1 0.2404 0.7500 0.1250
Ir2 0.2500 0.2404 0.8750
Ir3 0.2500 0.2596 0.3750
Ir4 0.2596 0.7500 0.6250
Ir5 0.7404 0.2500 0.6250
Ir6 0.7500 0.7404 0.3750
Ir7 0.7500 0.7596 0.8750
Ir8 0.7596 0.2500 0.1250
I1 0.0000 0.0000 0.5000
I2 0.0000 0.5000 0.7500
I3 0.5000 0.0000 0.2500
I4 0.5000 0.5000 0.0000
Cl1 0.0000 0.0000 0.0000
Cl2 0.0000 0.5000 0.2500
Cl3 0.5000 0.0000 0.7500
Cl4 0.5000 0.5000 0.5000

Computed properties:
calculated density	11.9	Mg/m³
magnetization	0.00	μB/cell
E above lowest polymorph	0.00	eV per formula unit
formation energy without anion corrections	1.07	eV/atom
space-group type	No. 122

# 4
An optimized crystal structure of Ir2ICl, computed with PBE-GGA.

Lattice parameters (Å, degrees): 6.5756 6.5756 6.5756 90.00 90.00 90.00
Positions (direct):
Ir1 0.2500 0.2500 0.2500
Ir2 0.2500 0.2500 0.7500
Ir3 0.2500 0.7500 0.2500
Ir4 0.2500 0.7500 0.7500
Ir5 0.7500 0.2500 0.2500
Ir6 0.7500 0.2500 0.7500
Ir7 0.7500 0.7500 0.2500
Ir8 0.7500 0.7500 0.7500
I1 0.0000 0.0000 0.0000
I2 0.0000 0.5000 0.5000
I3 0.5000 0.0000 0.5000
I4 0.5000 0.5000 0.0000
Cl1 0.0000 0.0000 0.5000
Cl2 0.0000 0.5000 0.0000
Cl3 0.5000 0.0000 0.0000
Cl4 0.5000 0.5000 0.5000

Computed properties:
calculated density	12.8	Mg/m³
magnetization	0.00	μB/cell
E above lowest polymorph	0.64	eV per formula unit
formation energy without anion corrections	1.23	eV/atom
space-group type	No. 225

# 5
An optimized crystal structure of IrICl2, computed with PBE-GGA.

Lattice parameters (Å, degrees): 7.1635 7.1635 9.7229 90.00 90.00 90.00
Positions (direct):
Ir1 0.0000 0.0000 0.0000
Ir2 0.0000 0.5000 0.2500
Ir3 0.5000 0.0000 0.7500
Ir4 0.5000 0.5000 0.5000
I1 0.0000 0.0000 0.5000
I2 0.0000 0.5000 0.7500
I3 0.5000 0.0000 0.2500
I4 0.5000 0.5000 0.0000
Cl1 0.1003 0.2500 0.1250
Cl2 0.2500 0.6003 0.3750
Cl3 0.2500 0.8997 0.8750
Cl4 0.3997 0.2500 0.6250
Cl5 0.6003 0.7500 0.6250
Cl6 0.7500 0.1003 0.8750
Cl7 0.7500 0.3997 0.3750
Cl8 0.8997 0.7500 0.1250

Computed properties:
calculated density	5.2	Mg/m³
magnetization	0.00	μB/cell
E above lowest polymorph	1.01	eV per formula unit
formation energy without anion corrections	0.44	eV/atom
space-group type	No. 122

# 6
An optimized crystal structure of IrICl6, computed with PBE-GGA.

Lattice parameters (Å, degrees): 7.0147 7.0147 13.9113 100.98 100.98 63.56
Positions (direct):
Ir1 0.0000 0.5000 0.0000
Ir2 0.5000 0.0000 0.5000
I1 0.2237 0.7763 0.2500
I2 0.7763 0.2237 0.7500
Cl1 0.1691 0.7305 0.0604
Cl2 0.2340 0.2631 0.1086
Cl3 0.2339 0.3306 0.8827
Cl4 0.2631 0.2340 0.6086
Cl5 0.2695 0.8309 0.4396
Cl6 0.3306 0.2339 0.3827
Cl7 0.6694 0.7661 0.6173
Cl8 0.7305 0.1691 0.5604
Cl9 0.7369 0.7660 0.3914
Cl10 0.7661 0.6694 0.1173
Cl11 0.7660 0.7369 0.8914
Cl12 0.8309 0.2695 0.9396

Computed properties:
calculated density	3.0	Mg/m³
magnetization	4.14	μB/cell
formation energy without anion corrections	-0.27	eV/atom
space-group type	No. 15

# 7
An optimized crystal structure of Ir2I2Cl, computed with PBE-GGA.

Lattice parameters (Å, degrees): 5.3791 5.3791 7.7771 90.00 90.00 90.00
Positions (direct):
Ir1 0.0000 0.0000 0.1630
Ir2 0.0000 0.0000 0.8370
Ir3 0.5000 0.5000 0.3370
Ir4 0.5000 0.5000 0.6630
I1 0.0000 0.5000 0.2500
I2 0.0000 0.5000 0.7500
I3 0.5000 0.0000 0.2500
I4 0.5000 0.0000 0.7500
Cl1 0.0000 0.0000 0.5000
Cl2 0.5000 0.5000 0.0000

Computed properties:
calculated density	9.9	Mg/m³
magnetization	0.00	μB/cell
E above lowest polymorph	0.00	eV per formula unit
formation energy without anion corrections	0.48	eV/atom
space-group type	No. 139

# 8
An optimized crystal structure of La6Ir2I3Cl, computed with PBE-GGA.

Lattice parameters (Å, degrees): 7.5326 7.5326 8.4923 98.46 98.46 120.02
Positions (direct):
La1 0.0736 0.4344 0.8085
La2 0.2023 0.2023 0.1897
La3 0.4344 0.0736 0.8085
La4 0.5656 0.9264 0.1915
La5 0.7977 0.7977 0.8103
La6 0.9264 0.5656 0.1915
Ir1 0.1674 0.8326 0.0000
Ir2 0.8326 0.1674 0.0000
I1 0.0000 0.0000 0.5000
I2 0.3392 0.6608 0.5000
I3 0.6608 0.3392 0.5000
Cl1 0.5000 0.5000 0.0000

Computed properties:
calculated density	6.8	Mg/m³
magnetization	0.00	μB/cell
formation energy without anion corrections	-1.17	eV/atom
space-group type	No. 12

Question: formation energy without anion corrections of number 3 (Ir2ICl)?
Answer: 1.07 eV/atom

Question: What is the formula in the fifth record?
Answer: IrICl2